one:
A plane-wave DFT calculation with PBE-GGA was carried out for Zn2SiBr after structural relaxation.

Properties
Magnetization (μB per formula unit): 0.00

a = 4.842 Å, b = 4.842 Å, c = 4.842 Å
α = 60.00°, β = 60.00°, γ = 60.00°
Fractional coordinates of all 4 atoms:
Si  0.250  0.250  0.250
Zn  0.750  0.750  0.750
Zn  0.000  0.000  0.000
Br  0.500  0.500  0.500

two:
A plane-wave DFT calculation with PBE-GGA was carried out for Zn2SiBr after structural relaxation.

Properties
Magnetization (μB per formula unit): 0.00

a = 7.226 Å, b = 7.226 Å, c = 7.226 Å
α = 29.43°, β = 29.43°, γ = 29.43°
Fractional coordinates of all 4 atoms:
Si  0.750  0.750  0.750
Zn  0.486  0.486  0.486
Br  0.250  0.250  0.250
Zn  0.014  0.014  0.014

The winner here is two, beating the second structure by 524 meV/atom.

one:
A plane-wave DFT calculation with PBE-GGA was carried out for Zn2SiBr after structural relaxation.

Properties
Magnetization (μB per formula unit): 0.00

a = 3.569 Å, b = 3.569 Å, c = 7.035 Å
α = 90.00°, β = 90.00°, γ = 90.00°
Fractional coordinates of all 4 atoms:
Zn  0.500  0.500  0.263
Br  0.000  0.000  0.446
Si  0.500  0.500  0.924
Zn  0.000  0.000  0.866

two:
A plane-wave DFT calculation with PBE-GGA was carried out for Zn2SiBr after structural relaxation.

Properties
Magnetization (μB per formula unit): 0.00

a = 3.115 Å, b = 4.683 Å, c = 5.535 Å
α = 90.00°, β = 90.00°, γ = 90.00°
Fractional coordinates of all 4 atoms:
Br  0.500  0.000  0.500
Si  0.000  0.500  0.500
Zn  0.500  0.500  0.000
Zn  0.000  0.000  0.000

The winner here is one, beating the second structure by 406 meV/atom.

one:
A plane-wave DFT calculation with PBE-GGA was carried out for Zn2SiBr after structural relaxation.

Properties
Magnetization (μB per formula unit): 0.00

a = 5.848 Å, b = 5.848 Å, c = 5.848 Å
α = 147.80°, β = 127.74°, γ = 62.72°
Fractional coordinates of all 4 atoms:
Zn  0.019  0.019  0.000
Si  0.811  0.311  0.500
Br  0.450  0.450  0.000
Zn  0.220  0.720  0.500

two:
A plane-wave DFT calculation with PBE-GGA was carried out for Zn2SiBr after structural relaxation.

Properties
Magnetization (μB per formula unit): 0.85

a = 5.990 Å, b = 5.990 Å, c = 7.167 Å
α = 65.30°, β = 65.30°, γ = 90.00°
Each line ends with the local moment (μB).
Fractional coordinates of all 8 atoms:
Zn  0.875  0.825  0.750  0.06
Br  0.000  0.000  0.000  0.04
Si  0.500  0.500  0.000  0.21
Zn  0.175  0.625  0.250  0.08
Zn  0.375  0.425  0.750  0.08
Zn  0.575  0.125  0.250  0.07
Br  0.750  0.250  0.500  0.04
Si  0.250  0.750  0.500  0.21

three:
A plane-wave DFT calculation with PBE-GGA was carried out for Zn2SiBr after structural relaxation.

Properties
Magnetization (μB per formula unit): 0.00

a = 5.041 Å, b = 5.041 Å, c = 5.041 Å
α = 126.94°, β = 126.94°, γ = 78.34°
Fractional coordinates of all 4 atoms:
Zn  0.500  0.500  0.000
Si  0.750  0.250  0.500
Br  0.250  0.750  0.500
Zn  0.000  0.000  0.000

The winner here is two, beating the second structure by 296 meV/atom.

one:
A plane-wave DFT calculation with PBE-GGA was carried out for Zn2SiBr after structural relaxation.

Properties
Magnetization (μB per formula unit): 0.00

a = 6.094 Å, b = 6.094 Å, c = 6.094 Å
α = 43.87°, β = 43.87°, γ = 43.87°
Fractional coordinates of all 4 atoms:
Zn  0.335  0.335  0.335
Si  0.658  0.658  0.658
Zn  0.996  0.996  0.996
Br  0.511  0.511  0.511

two:
A plane-wave DFT calculation with PBE-GGA was carried out for Zn2SiBr after structural relaxation.

Properties
Magnetization (μB per formula unit): 0.00

a = 4.769 Å, b = 4.769 Å, c = 4.427 Å
α = 73.49°, β = 73.49°, γ = 109.84°
Fractional coordinates of all 4 atoms:
Br  0.500  0.000  0.500
Zn  0.500  0.500  0.000
Zn  0.000  0.000  0.000
Si  0.000  0.500  0.500

The winner here is one, beating the second structure by 228 meV/atom.

one:
A plane-wave DFT calculation with PBE-GGA was carried out for ZrSiBr3 after structural relaxation.

Properties
Magnetization (μB per formula unit): 2.87

a = 5.362 Å, b = 5.362 Å, c = 5.362 Å
α = 90.00°, β = 90.00°, γ = 90.00°
Each line ends with the local moment (μB).
Fractional coordinates of all 5 atoms:
Br  0.000  0.500  0.000  0.01
Br  0.000  0.000  0.500  0.01
Br  0.500  0.000  0.000  -0.01
Si  0.500  0.500  0.500  0.51
Zr  0.000  0.000  0.000  0.78

two:
A plane-wave DFT calculation with PBE-GGA was carried out for ZrSiBr3 after structural relaxation.

Properties
Magnetization (μB per formula unit): 2.93

a = 5.239 Å, b = 5.239 Å, c = 5.239 Å
α = 90.00°, β = 90.00°, γ = 90.00°
Each line ends with the local moment (μB).
Fractional coordinates of all 5 atoms:
Si  0.000  0.000  0.000  0.01
Br  0.000  0.500  0.000  0.00
Br  0.000  0.000  0.500  0.01
Zr  0.500  0.500  0.500  1.78
Br  0.500  0.000  0.000  0.00

The winner here is one, beating the second structure by 429 meV/atom.

one:
A plane-wave DFT calculation with PBE-GGA was carried out for SmSn2Br8 after structural relaxation.

Properties
Magnetization (μB per formula unit): 0.00

a = 7.859 Å, b = 7.998 Å, c = 7.998 Å
α = 70.84°, β = 75.15°, γ = 75.15°
Fractional coordinates of all 11 atoms:
Sm  0.000  0.000  0.000
Br  0.831  0.416  0.416
Br  0.752  0.878  0.878
Sn  0.811  0.651  0.651
Br  0.248  0.122  0.122
Br  0.761  0.959  0.344
Br  0.239  0.656  0.041
Br  0.761  0.344  0.959
Sn  0.189  0.349  0.349
Br  0.239  0.041  0.656
Br  0.169  0.584  0.584

two:
A plane-wave DFT calculation with PBE-GGA was carried out for SmSn2Br8 after structural relaxation.

Properties
Magnetization (μB per formula unit): 0.00

a = 8.110 Å, b = 8.125 Å, c = 8.125 Å
α = 74.36°, β = 74.71°, γ = 74.71°
Fractional coordinates of all 11 atoms:
Br  0.819  0.117  0.713
Br  0.297  0.804  0.804
Sm  0.000  0.000  0.000
Br  0.181  0.287  0.883
Br  0.788  0.659  0.659
Br  0.181  0.883  0.287
Br  0.819  0.713  0.117
Br  0.212  0.341  0.341
Sn  0.618  0.864  0.864
Br  0.703  0.196  0.196
Sn  0.382  0.136  0.136

The winner here is one, beating the second structure by 19 meV/atom.

one:
A plane-wave DFT calculation with PBE-GGA was carried out for TbSmBr6 after structural relaxation.

Properties
Magnetization (μB per formula unit): 0.00

a = 7.550 Å, b = 7.550 Å, c = 7.055 Å
α = 97.82°, β = 97.82°, γ = 124.28°
Fractional coordinates of all 8 atoms:
Tb  0.000  0.000  0.000
Br  0.899  0.609  0.754
Br  0.248  0.248  0.752
Br  0.609  0.899  0.754
Br  0.752  0.752  0.248
Br  0.101  0.391  0.246
Br  0.391  0.101  0.246
Sm  0.500  0.500  0.500

two:
A plane-wave DFT calculation with PBE-GGA was carried out for TbSmBr6 after structural relaxation.

Properties
Magnetization (μB per formula unit): 0.00

a = 7.143 Å, b = 7.144 Å, c = 7.695 Å
α = 62.32°, β = 62.34°, γ = 60.00°
Fractional coordinates of all 8 atoms:
Br  0.747  0.096  0.748
Sm  0.000  0.000  0.000
Br  0.904  0.591  0.252
Br  0.591  0.253  0.252
Br  0.096  0.409  0.748
Tb  0.500  0.500  0.500
Br  0.253  0.904  0.252
Br  0.409  0.747  0.748

The winner here is one, beating the second structure by 16 meV/atom.

one:
A plane-wave DFT calculation with PBE-GGA was carried out for Sm2TeBr after structural relaxation.

Properties
Magnetization (μB per formula unit): 0.79

a = 4.003 Å, b = 4.003 Å, c = 10.026 Å
α = 90.00°, β = 90.00°, γ = 120.00°
Each line ends with the local moment (μB).
Fractional coordinates of all 4 atoms:
Sm  0.000  0.000  0.337  0.23
Sm  0.667  0.333  0.836  0.06
Te  0.667  0.333  0.537  0.01
Br  0.000  0.000  0.041  0.00

two:
A plane-wave DFT calculation with PBE-GGA was carried out for Sm2TeBr after structural relaxation.

Properties
Magnetization (μB per formula unit): 0.00

a = 5.317 Å, b = 5.317 Å, c = 5.317 Å
α = 60.00°, β = 60.00°, γ = 60.00°
Fractional coordinates of all 4 atoms:
Sm  0.250  0.250  0.250
Sm  0.750  0.750  0.750
Br  0.500  0.500  0.500
Te  0.000  0.000  0.000

three:
A plane-wave DFT calculation with PBE-GGA was carried out for Sm2TeBr after structural relaxation.

Properties
Magnetization (μB per formula unit): 0.00

a = 4.464 Å, b = 4.464 Å, c = 7.158 Å
α = 71.83°, β = 71.83°, γ = 60.00°
Fractional coordinates of all 4 atoms:
Sm  0.755  0.755  0.734
Sm  0.245  0.245  0.266
Te  0.000  0.000  0.000
Br  0.500  0.500  0.500

The winner here is two, beating the second structure by 30 meV/atom.

one:
A plane-wave DFT calculation with PBE-GGA was carried out for Sm2TeBr after structural relaxation.

Properties
Magnetization (μB per formula unit): 0.00

a = 3.803 Å, b = 5.294 Å, c = 5.294 Å
α = 90.00°, β = 90.00°, γ = 90.00°
Fractional coordinates of all 4 atoms:
Sm  0.000  0.000  0.500
Te  0.500  0.500  0.500
Br  0.500  0.000  0.000
Sm  0.000  0.500  0.000

two:
A plane-wave DFT calculation with PBE-GGA was carried out for Sm2TeBr after structural relaxation.

Properties
Magnetization (μB per formula unit): 0.00

a = 3.984 Å, b = 3.984 Å, c = 8.782 Å
α = 76.89°, β = 76.89°, γ = 60.00°
Fractional coordinates of all 4 atoms:
Sm  0.249  0.249  0.254
Te  0.500  0.500  0.499
Br  0.666  0.666  0.001
Sm  0.085  0.085  0.745

The winner here is two, beating the second structure by 42 meV/atom.

one:
A plane-wave DFT calculation with PBE-GGA was carried out for SmTmBr after structural relaxation.

Properties
Magnetization (μB per formula unit): 0.00

a = 5.768 Å, b = 5.985 Å, c = 10.201 Å
α = 90.00°, β = 90.00°, γ = 90.00°
Fractional coordinates of all 12 atoms:
Tm  0.410  0.575  0.932
Sm  0.910  0.984  0.276
Tm  0.910  0.425  0.068
Br  0.410  0.508  0.619
Sm  0.410  0.016  0.724
Br  0.910  0.492  0.381
Tm  0.910  0.925  0.932
Br  0.410  0.008  0.381
Tm  0.410  0.075  0.068
Sm  0.410  0.516  0.276
Sm  0.910  0.484  0.724
Br  0.910  0.992  0.619

two:
A plane-wave DFT calculation with PBE-GGA was carried out for SmTmBr after structural relaxation.

Properties
Magnetization (μB per formula unit): 0.33

a = 3.723 Å, b = 3.723 Å, c = 7.343 Å
α = 90.00°, β = 90.00°, γ = 120.00°
Each line ends with the local moment (μB).
Fractional coordinates of all 3 atoms:
Tm  0.000  0.000  0.019  0.15
Sm  0.333  0.667  0.655  0.07
Br  0.667  0.333  0.326  0.00

The winner here is one, beating the second structure by 16 meV/atom.

one:
A plane-wave DFT calculation with PBE-GGA was carried out for SmYBr6 after structural relaxation.

Properties
Magnetization (μB per formula unit): 0.00

a = 7.528 Å, b = 7.528 Å, c = 7.044 Å
α = 97.87°, β = 97.87°, γ = 124.22°
Fractional coordinates of all 8 atoms:
Sm  0.500  0.500  0.500
Br  0.391  0.100  0.245
Br  0.609  0.900  0.755
Br  0.900  0.609  0.755
Br  0.752  0.752  0.248
Br  0.100  0.391  0.245
Br  0.248  0.248  0.752
Y  0.000  0.000  0.000

two:
A plane-wave DFT calculation with PBE-GGA was carried out for SmYBr6 after structural relaxation.

Properties
Magnetization (μB per formula unit): 0.00

a = 7.119 Å, b = 7.119 Å, c = 7.672 Å
α = 62.36°, β = 62.36°, γ = 60.00°
Fractional coordinates of all 8 atoms:
Y  0.500  0.500  0.500
Sm  0.000  0.000  0.000
Br  0.906  0.588  0.252
Br  0.254  0.906  0.252
Br  0.412  0.746  0.748
Br  0.746  0.094  0.748
Br  0.094  0.412  0.748
Br  0.588  0.254  0.252

The winner here is one, beating the second structure by 16 meV/atom.

one:
A plane-wave DFT calculation with PBE-GGA was carried out for SrSnBr2 after structural relaxation.

Properties
Magnetization (μB per formula unit): 0.00

a = 5.568 Å, b = 5.568 Å, c = 5.568 Å
α = 60.00°, β = 60.00°, γ = 60.00°
Fractional coordinates of all 4 atoms:
Br  0.250  0.250  0.250
Br  0.750  0.750  0.750
Sn  0.500  0.500  0.500
Sr  0.000  0.000  0.000

two:
A plane-wave DFT calculation with PBE-GGA was carried out for SrSnBr2 after structural relaxation.

Properties
Magnetization (μB per formula unit): 0.00

a = 8.612 Å, b = 8.612 Å, c = 7.118 Å
α = 52.78°, β = 52.78°, γ = 90.00°
Fractional coordinates of all 8 atoms:
Sn  0.750  0.250  0.500
Br  0.375  0.387  0.750
Br  0.875  0.863  0.750
Br  0.137  0.625  0.250
Br  0.613  0.125  0.250
Sr  0.250  0.750  0.500
Sr  0.500  0.500  0.000
Sn  0.000  0.000  0.000

The winner here is two, beating the second structure by 96 meV/atom.